No. 1
Entry from the Alexandria database: crystalline NdGaPt at its relaxed geometry (GGA-PBEsol).

Cell lengths 4.4527, 7.0557, 7.6786 Å; angles 90.00, 90.00, 90.00 degrees
Last column: nearest neighbours and their distance in Å.
Sites, in units of the cell vectors:
Nd: 0.7500 0.9822 0.6962  5 Pt 2.94-3.18, 6 Ga 3.11-3.27
Pt: 0.2500 0.2848 0.5972  4 Ga 2.62-2.71
Nd: 0.2500 0.0178 0.3038  5 Pt 2.94-3.18, 6 Ga 3.11-3.27
Pt: 0.2500 0.7848 0.9028  4 Ga 2.62-2.71
Ga: 0.7500 0.8314 0.0766  4 Pt 2.62-2.71
Nd: 0.7500 0.4822 0.8038  5 Pt 2.94-3.18, 6 Ga 3.11-3.27
Pt: 0.7500 0.7152 0.4028  4 Ga 2.62-2.71
Ga: 0.2500 0.6686 0.5766  4 Pt 2.62-2.71
Pt: 0.7500 0.2152 0.0972  4 Ga 2.62-2.71
Ga: 0.2500 0.1686 0.9234  4 Pt 2.62-2.71
Nd: 0.2500 0.5178 0.1962  5 Pt 2.94-3.18, 6 Ga 3.11-3.27
Ga: 0.7500 0.3314 0.4234  4 Pt 2.62-2.71

Computed properties:
symmetry = No. 62
formation energy = -1.039 eV/atom
mass density = 11.263 g/cm³
crystal system = orthorhombic
DOS at the Fermi energy = 0.52 states/eV per atom
raw total energy = -6.195 eV/atom

No. 2
Entry from the Alexandria database: crystalline UVC2 at its relaxed geometry (GGA-PBEsol).

Cell lengths 3.1415, 5.5103, 10.6885 Å; angles 90.00, 90.00, 90.00 degrees
Last column: nearest neighbours and their distance in Å.
Sites, in units of the cell vectors:
V: 0.2500 0.9219 0.6011  5 C 2.05-2.13
C: 0.7500 0.8312 0.2460  2 V 2.08-2.13
U: 0.2500 0.0787 0.1411  7 C 2.36-2.47
C: 0.7500 0.3312 0.2540  2 V 2.08-2.13
C: 0.2500 0.1688 0.7540  2 V 2.08-2.13
C: 0.2500 0.6688 0.7460  2 V 2.08-2.13
V: 0.7500 0.0781 0.3989  5 C 2.05-2.13
V: 0.7500 0.5781 0.1011  5 C 2.05-2.13
U: 0.2500 0.5787 0.3589  7 C 2.36-2.47
V: 0.2500 0.4219 0.8989  5 C 2.05-2.13
C: 0.7500 0.2652 0.9911  3 V 2.05-2.09
C: 0.2500 0.7348 0.0089  3 V 2.05-2.09
U: 0.7500 0.9213 0.8589  7 C 2.36-2.47
U: 0.7500 0.4213 0.6411  7 C 2.36-2.47
C: 0.7500 0.7652 0.5089  3 V 2.05-2.09
C: 0.2500 0.2348 0.4911  3 V 2.05-2.09

Computed properties:
symmetry = No. 62
formation energy = -0.435 eV/atom
mass density = 11.236 g/cm³
crystal system = orthorhombic
DOS at the Fermi energy = 0.85 states/eV per atom
raw total energy = -10.706 eV/atom